Record 1
Here is TcS2 after structural relaxation from OQMD. Energies are from GGA-PBE.

Computed properties:
The calculation puts the density at 2.11 g/cm³. Its space group is Fd-3m (227). The calculation puts the spin magnetization at 0.0 μB/cell. Its relative energy among the computed polymorphs is 47.1 kJ per mole of atoms.

Unit cell a=7.1240 b=7.1240 c=7.1240 alpha=60.00 beta=60.00 gamma=60.00
With the nearest neighbours (Å) after each atom.
Fractional positions:
S 0.3750 0.8750 0.3750  2 Tc 2.18
S 0.3750 0.3750 0.3750  2 Tc 2.18
S 0.8750 0.3750 0.3750  2 Tc 2.18
S 0.3750 0.3750 0.8750  2 Tc 2.18
Tc 0.5000 0.5000 0.5000  4 S 2.18
Tc 0.2500 0.2500 0.2500  4 S 2.18

Record 2
Here is TcS2 after structural relaxation from OQMD. Energies are from GGA-PBE.

Computed properties:
The calculation puts the density at 4.71 g/cm³. Its space group is P-6m2 (187). The calculation puts the spin magnetization at 0.0 μB/cell. Its relative energy among the computed polymorphs is 14.0 kJ per mole of atoms.

Unit cell a=3.2864 b=3.2864 c=24.4619 alpha=90.00 beta=90.00 gamma=120.00
With the nearest neighbours (Å) after each atom.
Fractional positions:
S 0.3333 0.6667 0.5592  3 Tc 2.39
S 0.3333 0.6667 0.4408  3 Tc 2.39
S 0.6667 0.3333 0.9407  3 Tc 2.39
S 0.0000 0.0000 0.6907  3 Tc 2.39
S 0.0000 0.0000 0.8091  3 Tc 2.39
S 0.6667 0.3333 0.0593  3 Tc 2.39
S 0.0000 0.0000 0.1909  3 Tc 2.39
S 0.0000 0.0000 0.3093  3 Tc 2.39
Tc 0.6667 0.3333 0.5000  6 S 2.39
Tc 0.6667 0.3333 0.2501  6 S 2.39
Tc 0.6667 0.3333 0.7499  6 S 2.39
Tc 0.3333 0.6667 0.0000  6 S 2.39

Record 3
Here is Tc2S after structural relaxation from OQMD. Energies are from GGA-PBE.

Computed properties:
The calculation puts the density at 7.91 g/cm³. Its space group is Fd-3m (227). The calculation puts the spin magnetization at 0.0 μB/cell. Its relative energy among the computed polymorphs is 0.0 kJ per mole of atoms.

Unit cell a=5.1356 b=5.1356 c=5.1356 alpha=60.00 beta=60.00 gamma=60.00
With the nearest neighbours (Å) after each atom.
Fractional positions:
Tc 0.6250 0.6250 0.6250  6 Tc 2.57
Tc 0.6250 0.6250 0.1250  6 Tc 2.57
Tc 0.6250 0.1250 0.6250  6 Tc 2.57
Tc 0.1250 0.6250 0.6250  6 Tc 2.57
S 0.0000 0.0000 0.0000  12 Tc 3.01, 4 S 3.14
S 0.2500 0.2500 0.2500  12 Tc 3.01, 4 S 3.14